# Pu3Tl3AgS8 (PBE-GGA, relaxed)
data_Pu3Tl3AgS8
_chemical_formula_sum 'Pu6 Tl6 Ag2 S16'
_space_group_name_H-M_alt 'C 1 2/m 1'
_space_group_IT_number 12
_space_group_name_Hall '-C 2y'
_cell_length_a 13.753
_cell_length_b 7.925
_cell_length_c 8.776
_cell_angle_alpha 90.00
_cell_angle_beta 121.59
_cell_angle_gamma 90.00
loop_
_atom_site_label
_atom_site_type_symbol
_atom_site_fract_x
_atom_site_fract_y
_atom_site_fract_z
Pu1 Pu 0.000 0.000 0.000
Pu2 Pu 0.250 0.250 0.000
Tl1 Tl 0.000 0.500 0.500
Tl2 Tl 0.250 0.250 0.500
Ag1 Ag 0.000 0.500 0.000
S1 S 0.022 0.239 0.806
S2 S 0.232 0.000 0.197
S3 S 0.240 0.500 0.195
# - E_form (uncorrected) (meV per atom) = -958

=====

# CaSm6Y (PBE-GGA, relaxed)
data_CaSm6Y
_chemical_formula_sum 'Ca1 Sm6 Y1'
_space_group_name_H-M_alt 'P 4/m m m'
_space_group_IT_number 123
_space_group_name_Hall '-P 4 2'
_cell_length_a 5.148
_cell_length_b 5.148
_cell_length_c 10.328
_cell_angle_alpha 90.00
_cell_angle_beta 90.00
_cell_angle_gamma 90.00
loop_
_atom_site_label
_atom_site_type_symbol
_atom_site_fract_x
_atom_site_fract_y
_atom_site_fract_z
Ca1 Ca 0.000 0.000 0.000
Sm1 Sm 0.000 0.500 0.257
Sm2 Sm 0.500 0.500 0.000
Sm3 Sm 0.500 0.500 0.500
Y1 Y 0.000 0.000 0.500
# - DFT formation energy (eV per atom) = 0.051